NdHgIr | PBE | relaxed

a b c (Å): 9.065 9.065 9.065
angles (deg): 29.98 29.98 29.98
Positions (direct):
Nd  0.095  0.095  0.095
Nd  0.905  0.905  0.905
Hg  0.312  0.312  0.312
Hg  0.688  0.688  0.688
Ir  0.204  0.204  0.204
Ir  0.796  0.796  0.796

Output
The density of states at the Fermi level comes out at 1.38 states/eV/f.u. For the density, the calculation gives 10.82 g cm⁻³. The volume comes out at 27.462 Å³ per atom. The calculation puts the energy of formation from the pure elements at -0.052 eV per atom.